Record 1
# Zn2SbRhO

Zn2SbRhO after structural relaxation (PBE, the Alexandria database).

a = 5.0753 Å, b = 3.6974 Å, c = 5.0753 Å
α = 90.00°, β = 90.00°, γ = 90.00°
Closest atoms and distances in Å follow each position.
Positions (direct):
Sb 0.5000 0.5000 0.5000  8 Zn 3.14
Zn 0.0000 0.0000 0.5000  2 Rh 2.54
Zn 0.5000 0.0000 0.0000  2 Rh 2.54
Rh 0.0000 0.0000 0.0000  2 O 1.85
O 0.0000 0.5000 0.0000  2 Rh 1.85

**E_form (uncorrected)**: -0.008 eV per atom
**SG**: P4/mmm, No. 123
**E_tot**: -3.80 eV per atom
**Crystal system**: tetragonal


Record 2
# Sc2RhO4

Sc2RhO4 after structural relaxation (PBE, the Alexandria database).

a = 6.3690 Å, b = 6.3690 Å, c = 6.3708 Å
α = 59.99°, β = 59.99°, γ = 89.97°
Closest atoms and distances in Å follow each position.
Positions (direct):
Sc 0.5000 0.5000 0.5000  6 O 2.13
Sc 0.5000 0.0000 0.5000  6 O 2.13
Sc 0.0000 0.0000 0.0000  6 O 2.13
Sc 0.5000 0.0000 0.0000  6 O 2.13
Rh 0.8750 0.6250 0.7500  4 O 2.17
Rh 0.1250 0.3750 0.2500  4 O 2.17
O 0.2643 0.7925 0.9715  3 Sc 2.13, 1 Rh 2.17
O 0.7357 0.2075 0.0285  3 Sc 2.13, 1 Rh 2.17
O 0.2925 0.7643 0.4715  3 Sc 2.13, 1 Rh 2.17
O 0.2641 0.2360 0.5284  3 Sc 2.13, 1 Rh 2.17
O 0.2640 0.2359 0.9716  3 Sc 2.13, 1 Rh 2.17
O 0.7359 0.7640 0.4716  3 Sc 2.13, 1 Rh 2.17
O 0.7075 0.2357 0.5285  3 Sc 2.13, 1 Rh 2.17
O 0.7360 0.7641 0.0284  3 Sc 2.13, 1 Rh 2.17

**E_form (uncorrected)**: -2.371 eV per atom
**SG**: Fd-3m, No. 227
**E_tot**: -8.06 eV per atom
**Crystal system**: cubic


Record 3
# ScRhO2

ScRhO2 after structural relaxation (PBE, the Alexandria database).

a = 3.9526 Å, b = 3.9526 Å, c = 3.9526 Å
α = 60.00°, β = 60.00°, γ = 60.00°
Closest atoms and distances in Å follow each position.
Positions (direct):
Sc 0.0000 0.0000 0.0000  8 O 2.42
Rh 0.5000 0.5000 0.5000  8 O 2.42
O 0.2500 0.2500 0.2500  4 Rh 2.42, 4 Sc 2.42
O 0.7500 0.7500 0.7500  4 Sc 2.42, 4 Rh 2.42

**E_form (uncorrected)**: -1.347 eV per atom
**SG**: Fm-3m, No. 225
**E_tot**: -7.25 eV per atom
**Crystal system**: cubic


Record 4
# Sc6RhO12

Sc6RhO12 after structural relaxation (PBE, the Alexandria database).

a = 6.1237 Å, b = 6.1237 Å, c = 6.1237 Å
α = 98.91°, β = 98.91°, γ = 98.91°
Closest atoms and distances in Å follow each position.
Positions (direct):
Sc 0.6744 0.8557 0.3900  6 O 2.05-2.20
Sc 0.6100 0.3256 0.1443  6 O 2.05-2.20
Sc 0.1443 0.6100 0.3256  6 O 2.05-2.20
Sc 0.3256 0.1443 0.6100  6 O 2.05-2.20
Sc 0.3900 0.6744 0.8557  6 O 2.05-2.20
Sc 0.8557 0.3900 0.6744  6 O 2.05-2.20
Rh 0.0000 0.0000 0.0000  6 O 1.96
O 0.8220 0.5794 0.4132  4 Sc 2.05-2.18
O 0.4132 0.8220 0.5794  4 Sc 2.05-2.18
O 0.5794 0.4132 0.8220  4 Sc 2.05-2.18
O 0.1780 0.4206 0.5868  4 Sc 2.05-2.18
O 0.5868 0.1780 0.4206  4 Sc 2.05-2.18
O 0.4206 0.5868 0.1780  4 Sc 2.05-2.18
O 0.0935 0.9556 0.3090  1 Rh 1.96, 1 Sc 2.18
O 0.0444 0.6911 0.9065  1 Rh 1.96, 1 Sc 2.18
O 0.6911 0.9065 0.0444  1 Rh 1.96, 1 Sc 2.18
O 0.9065 0.0444 0.6911  1 Rh 1.96, 1 Sc 2.18
O 0.9556 0.3090 0.0935  1 Rh 1.96, 1 Sc 2.18
O 0.3090 0.0935 0.9556  1 Rh 1.96, 1 Sc 2.18

**E_form (uncorrected)**: -2.848 eV per atom
**SG**: R-3, No. 148
**E_tot**: -8.37 eV per atom
**Crystal system**: trigonal


Record 5
# ScRhO

ScRhO after structural relaxation (PBE, the Alexandria database).

a = 2.9503 Å, b = 2.9503 Å, c = 9.5769 Å
α = 102.36°, β = 102.36°, γ = 89.82°
Closest atoms and distances in Å follow each position.
Positions (direct):
Rh 0.6995 0.6995 0.4106  4 Rh 2.58-2.73, 1 Sc 2.73
Rh 0.3005 0.3005 0.5894  4 Rh 2.58-2.73, 1 Sc 2.73
O 0.6795 0.6795 0.9003  5 Sc 2.13-2.33
O 0.3205 0.3205 0.0997  5 Sc 2.13-2.33
Sc 0.1371 0.1371 0.8448  5 O 2.13-2.33
Sc 0.8629 0.8629 0.1552  5 O 2.13-2.33

**E_form (uncorrected)**: -1.914 eV per atom
**SG**: C2/m, No. 12
**E_tot**: -8.13 eV per atom
**Crystal system**: monoclinic


Record 6
# ScRh2O

ScRh2O after structural relaxation (PBE, the Alexandria database).

a = 4.7036 Å, b = 4.7036 Å, c = 7.1426 Å
α = 70.78°, β = 70.78°, γ = 90.00°
Closest atoms and distances in Å follow each position.
Positions (direct):
Sc 0.0000 0.0000 0.0000  4 Rh 2.72
Sc 0.7500 0.2500 0.5000  4 Rh 2.72
Rh 0.4749 0.1250 0.2500  2 O 2.03
Rh 0.2751 0.6250 0.2500  2 O 2.03
Rh 0.3750 0.5251 0.7500  2 O 2.03
Rh 0.8750 0.7249 0.7500  2 O 2.03
O 0.5000 0.5000 0.0000  4 Rh 2.03
O 0.2500 0.7500 0.5000  4 Rh 2.03

**E_form (uncorrected)**: -0.370 eV per atom
**SG**: I-42d, No. 122
**E_tot**: -6.87 eV per atom
**Crystal system**: tetragonal


Record 7
# Sc2Rh3O8

Sc2Rh3O8 after structural relaxation (PBE, the Alexandria database).

a = 5.3244 Å, b = 5.8818 Å, c = 5.8818 Å
α = 61.92°, β = 79.33°, γ = 79.33°
Closest atoms and distances in Å follow each position.
Positions (direct):
Sc 0.3993 0.7088 0.7088  5 O 1.95-2.17
Sc 0.6007 0.2912 0.2912  5 O 1.95-2.17
Rh 0.5000 0.0000 0.0000  6 O 2.03-2.10
Rh 0.0000 0.7458 0.2542  6 O 2.01-2.08
Rh 0.0000 0.2542 0.7458  6 O 2.01-2.08
O 0.8749 0.3921 0.3921  1 Sc 1.95, 2 Rh 2.04
O 0.1251 0.6079 0.6079  1 Sc 1.95, 2 Rh 2.04
O 0.8752 0.9031 0.9031  3 Rh 2.01-2.03
O 0.1248 0.0969 0.0969  3 Rh 2.01-2.03
O 0.6342 0.3551 0.8928  2 Rh 2.08-2.10, 2 Sc 2.12-2.17
O 0.6342 0.8928 0.3551  2 Rh 2.08-2.10, 2 Sc 2.12-2.17
O 0.3658 0.1072 0.6449  2 Rh 2.08-2.10, 2 Sc 2.12-2.17
O 0.3658 0.6449 0.1072  2 Rh 2.08-2.10, 2 Sc 2.12-2.17

**E_form (uncorrected)**: -1.721 eV per atom
**SG**: C2/m, No. 12
**E_tot**: -7.44 eV per atom
**Crystal system**: monoclinic


Record 8
# ScRhO2

ScRhO2 after structural relaxation (PBE, the Alexandria database).

a = 4.8481 Å, b = 4.8481 Å, c = 5.9677 Å
α = 66.03°, β = 66.03°, γ = 90.00°
Closest atoms and distances in Å follow each position.
Positions (direct):
Sc 0.5000 0.5000 0.0000  4 O 2.00
Sc 0.2500 0.7500 0.5000  4 O 2.00
Rh 0.0000 0.0000 0.0000  4 O 2.22
Rh 0.7500 0.2500 0.5000  4 O 2.22
O 0.5869 0.1250 0.2500  2 Sc 2.00, 2 Rh 2.22
O 0.1631 0.6250 0.2500  2 Sc 2.00, 2 Rh 2.22
O 0.3750 0.4131 0.7500  2 Sc 2.00, 2 Rh 2.22
O 0.8750 0.8369 0.7500  2 Sc 2.00, 2 Rh 2.22

**E_form (uncorrected)**: -1.657 eV per atom
**SG**: I-42d, No. 122
**E_tot**: -7.56 eV per atom
**Crystal system**: tetragonal


Record 9
# ScRhO2

ScRhO2 after structural relaxation (PBE, the Alexandria database).

a = 6.4144 Å, b = 6.4144 Å, c = 6.4144 Å
α = 27.86°, β = 27.86°, γ = 27.86°
Closest atoms and distances in Å follow each position.
Positions (direct):
Sc 0.5000 0.5000 0.5000  6 O 2.08
Rh 0.0000 0.0000 0.0000  2 O 2.01
O 0.8913 0.8913 0.8913  1 Rh 2.01, 3 Sc 2.08
O 0.1087 0.1087 0.1087  1 Rh 2.01, 3 Sc 2.08

**E_form (uncorrected)**: -2.063 eV per atom
**SG**: R-3m, No. 166
**E_tot**: -7.96 eV per atom
**Crystal system**: trigonal


Record 10
# Sc2Rh2O7

Sc2Rh2O7 after structural relaxation (PBE, the Alexandria database).

a = 7.0127 Å, b = 7.0127 Å, c = 7.0127 Å
α = 60.00°, β = 60.00°, γ = 60.00°
Closest atoms and distances in Å follow each position.
Positions (direct):
Sc 0.6250 0.6250 0.6250  8 O 2.15-2.33
Sc 0.6250 0.6250 0.1250  8 O 2.15-2.33
Sc 0.6250 0.1250 0.6250  8 O 2.15-2.33
Sc 0.1250 0.6250 0.6250  8 O 2.15-2.33
Rh 0.6250 0.1250 0.1250  6 O 1.99
Rh 0.1250 0.6250 0.1250  6 O 1.99
Rh 0.1250 0.1250 0.6250  6 O 1.99
Rh 0.1250 0.1250 0.1250  6 O 1.99
O 0.2198 0.2198 0.7802  2 Rh 1.99
O 0.2198 0.7802 0.2198  2 Rh 1.99
O 0.4698 0.0302 0.4698  2 Rh 1.99
O 0.4698 0.4698 0.0302  2 Rh 1.99
O 0.7500 0.7500 0.7500  4 Sc 2.15
O 0.7802 0.2198 0.2198  2 Rh 1.99
O 0.4698 0.0302 0.0302  2 Rh 1.99
O 0.0302 0.4698 0.4698  2 Rh 1.99
O 0.0302 0.0302 0.4698  2 Rh 1.99
O 0.0302 0.4698 0.0302  2 Rh 1.99
O 0.2198 0.7802 0.7802  2 Rh 1.99
O 0.5000 0.5000 0.5000  4 Sc 2.15
O 0.7802 0.2198 0.7802  2 Rh 1.99
O 0.7802 0.7802 0.2198  2 Rh 1.99

**E_form (uncorrected)**: -1.944 eV per atom
**SG**: Fd-3m, No. 227
**E_tot**: -7.59 eV per atom
**Crystal system**: cubic


Record 11
# Sc4Rh2O

Sc4Rh2O after structural relaxation (PBE, the Alexandria database).

a = 4.2301 Å, b = 4.2301 Å, c = 7.5294 Å
α = 106.31°, β = 106.31°, γ = 90.00°
Closest atoms and distances in Å follow each position.
Positions (direct):
Sc 0.8213 0.8213 0.6427  1 O 2.47, 1 Rh 2.57
Sc 0.1787 0.1787 0.3573  1 O 2.47, 1 Rh 2.57
Sc 0.0000 0.5000 0.0000  2 O 2.12
Sc 0.5000 0.0000 0.0000  2 O 2.12
Rh 0.6352 0.6352 0.2705  5 Sc 2.57-2.82
Rh 0.3648 0.3648 0.7295  5 Sc 2.57-2.82
O 0.0000 0.0000 0.0000  4 Sc 2.12

**E_form (uncorrected)**: -1.299 eV per atom
**SG**: I4/mmm, No. 139
**E_tot**: -7.73 eV per atom
**Crystal system**: tetragonal